! PBE-GGA Cs3PmSb2O8, relaxed; values from VASP
&SYSTEM
  ibrav = 0, nat = 14, ntyp = 4
/
ATOMIC_SPECIES
Cs 132.91 Cs.upf
Sb 121.76 Sb.upf
Pm 145.00 Pm.upf
O 16.00 O.upf
ATOMIC_POSITIONS crystal
Cs 0.6667 0.3333 0.2822
Cs 0.3333 0.6667 0.7178
Cs 0.0000 0.0000 0.0000
Sb 0.6667 0.3333 0.7373
Sb 0.3333 0.6667 0.2627
Pm 0.0000 0.0000 0.5000
O 0.8278 0.6556 0.6579
O 0.1722 0.3444 0.3421
O 0.8278 0.1722 0.6579
O 0.1722 0.8278 0.3421
O 0.6667 0.3333 0.9546
O 0.3333 0.6667 0.0454
O 0.6556 0.8278 0.3421
O 0.3444 0.1722 0.6579
CELL_PARAMETERS angstrom
-0.2175 0.2860 -6.4185
5.4424 -1.7189 2.9583
-2.4535 -8.2587 -0.2849
! M_tot = 0.00 μB/f.u.
! VASP energy = -5.81 eV/atom
! SG = P-3m1

=====

! PBE-GGA CsPmSbO4, relaxed; values from VASP
&SYSTEM
  ibrav = 0, nat = 14, ntyp = 4
/
ATOMIC_SPECIES
O 16.00 O.upf
Sb 121.76 Sb.upf
Cs 132.91 Cs.upf
Pm 145.00 Pm.upf
ATOMIC_POSITIONS crystal
O 0.5548 0.2500 0.4799
O 0.0081 0.0171 0.6621
O 0.9919 0.5171 0.3379
O 0.0081 0.4829 0.6621
O 0.9919 0.9829 0.3379
O 0.4501 0.7500 0.2098
O 0.5499 0.2500 0.7902
O 0.4452 0.7500 0.5201
Sb 0.1856 0.7500 0.2936
Sb 0.8144 0.2500 0.7064
Cs 0.4897 0.7500 0.8691
Cs 0.5103 0.2500 0.1309
Pm 0.7957 0.7500 0.4717
Pm 0.2043 0.2500 0.5283
CELL_PARAMETERS angstrom
-2.7612 -0.9267 5.2912
1.1875 -6.1765 -0.4620
8.8076 1.6576 0.4783
! M_tot = 0.98 μB/f.u.
! VASP energy = -6.27 eV/atom
! SG = P2_1/m

=====

! PBE-GGA Cs3Pm3SbO8, relaxed; values from VASP
&SYSTEM
  ibrav = 0, nat = 15, ntyp = 4
/
ATOMIC_SPECIES
O 16.00 O.upf
Sb 121.76 Sb.upf
Cs 132.91 Cs.upf
Pm 145.00 Pm.upf
ATOMIC_POSITIONS crystal
O 0.7480 0.9529 0.6574
O 0.2048 0.4097 0.6575
O 0.2520 0.0471 0.3426
O 0.2791 0.5583 0.3377
O 0.7952 0.5903 0.3425
O 0.7951 0.0471 0.3426
O 0.7209 0.4417 0.6623
O 0.2049 0.9529 0.6574
Sb 0.0000 0.0000 0.5000
Cs 0.5000 0.5000 0.0000
Cs 0.0000 0.5000 0.0000
Cs 0.0000 0.0000 0.0000
Pm 0.5000 0.5000 0.5000
Pm 0.5000 0.0000 0.5000
Pm 0.0000 0.5000 0.5000
CELL_PARAMETERS angstrom
7.1657 0.0000 0.0000
-3.5828 6.2069 -0.0235
0.0000 -4.1146 7.0391
! M_tot = 0.00 μB/f.u.
! VASP energy = -6.35 eV/atom
! SG = R-3m